1.
# GeNF2

Crystalline GeNF2 at its relaxed geometry (PBE, Alexandria via LeMat-Bulk).

Cell lengths 7.3875, 7.3875, 7.3875 Å; angles 21.86, 21.86, 21.86 degrees
Closest atoms and distances in Å follow each position.
Positions (direct):
1 Ge 0.5000 0.5000 0.5000  6 F 2.44
2 N 0.0000 0.0000 0.0000  2 F 1.78
3 F 0.9176 0.9176 0.9176  1 N 1.78
4 F 0.0824 0.0824 0.0824  1 N 1.78

SG ... R-3m
Distance to the lowest polymorph of the same formula ... 1.74 eV per formula unit
Formation energy without anion corrections ... 10.322 kcal/mol of atoms


2.
# Pm6GeIr3

Crystalline Pm6GeIr3 at its relaxed geometry (PBE, Alexandria via LeMat-Bulk).

Cell lengths 7.2775, 8.9923, 8.9923 Å; angles 104.98, 90.00, 90.00 degrees
Closest atoms and distances in Å follow each position.
Positions (direct):
1 Pm 0.1664 0.6985 0.6416  4 Ir 2.91-3.06
2 Pm 0.6664 0.6416 0.6985  4 Ir 2.91-3.06
3 Pm 0.2173 0.4504 0.8948  3 Ir 2.85-3.01, 1 Ge 2.95
4 Pm 0.7173 0.8948 0.4504  3 Ir 2.85-3.01, 1 Ge 2.95
5 Pm 0.2719 0.0104 0.9896  2 Ir 2.89, 2 Ge 3.00
6 Pm 0.6194 0.2311 0.7689  3 Ir 2.88-2.96, 1 Ge 2.88
7 Pm 0.1194 0.7689 0.2311  3 Ir 2.88-2.96, 1 Ge 2.88
8 Pm 0.7719 0.9896 0.0104  2 Ir 2.89, 2 Ge 3.00
9 Pm 0.2173 0.1052 0.5496  3 Ir 2.85-3.01, 1 Ge 2.95
10 Pm 0.7173 0.5496 0.1052  3 Ir 2.85-3.01, 1 Ge 2.95
11 Pm 0.1664 0.3584 0.3015  4 Ir 2.91-3.06
12 Pm 0.6664 0.3015 0.3584  4 Ir 2.91-3.06
13 Ge 0.9946 0.1664 0.8336  5 Pm 2.88-3.00
14 Ge 0.4946 0.8336 0.1664  5 Pm 2.88-3.00
15 Ir 0.4710 0.9243 0.7021  6 Pm 2.85-3.01
16 Ir 0.9710 0.7021 0.9243  6 Pm 2.85-3.01
17 Ir 0.3901 0.4024 0.5976  7 Pm 2.88-3.06
18 Ir 0.8901 0.5976 0.4024  7 Pm 2.88-3.06
19 Ir 0.9710 0.0757 0.2979  6 Pm 2.85-3.01
20 Ir 0.4710 0.2979 0.0757  6 Pm 2.85-3.01

SG ... Cmc2_1
DFT formation energy ... -0.54 eV/atom
Distance to the lowest polymorph of the same formula ... 0.79 eV per formula unit


3.
# Ba2SrAu

Crystalline Ba2SrAu at its relaxed geometry (PBE, Alexandria via LeMat-Bulk).

Cell lengths 6.2065, 6.2065, 6.2065 Å; angles 60.00, 60.00, 60.00 degrees
Closest atoms and distances in Å follow each position.
Positions (direct):
1 Sr 0.0000 0.0000 0.0000  8 Ba 3.80
2 Au 0.5000 0.5000 0.5000  8 Ba 3.80
3 Ba 0.2500 0.2500 0.2500  4 Sr 3.80, 4 Au 3.80
4 Ba 0.7500 0.7500 0.7500  4 Sr 3.80, 4 Au 3.80

SG ... Fm-3m
DFT formation energy ... -0.03 eV/atom
Distance to the lowest polymorph of the same formula ... 1.49 eV per formula unit


4.
# PuIn2Ag9

Crystalline PuIn2Ag9 at its relaxed geometry (PBE, Alexandria via LeMat-Bulk).

Cell lengths 5.6144, 5.6144, 9.7301 Å; angles 73.23, 73.23, 60.00 degrees
Closest atoms and distances in Å follow each position.
Positions (direct):
1 Pu 0.0000 0.0000 0.0000  6 Ag 3.24
2 In 0.8588 0.8588 0.4235  12 Ag 3.20-3.35, 3 In 3.53
3 In 0.1412 0.1412 0.5765  12 Ag 3.20-3.35, 3 In 3.53
4 Ag 0.6663 0.6663 0.0012  6 Ag 2.84-2.85
5 Ag 0.3337 0.3337 0.9988  6 Ag 2.84-2.85
6 Ag 0.5000 0.5000 0.5000  6 Ag 2.78
7 Ag 0.4128 0.4128 0.2552  7 Ag 2.77-2.85
8 Ag 0.9192 0.4128 0.2552  7 Ag 2.77-2.85
9 Ag 0.4128 0.9192 0.2552  7 Ag 2.77-2.85
10 Ag 0.5872 0.5872 0.7448  7 Ag 2.77-2.85
11 Ag 0.5872 0.0808 0.7448  7 Ag 2.77-2.85
12 Ag 0.0808 0.5872 0.7448  7 Ag 2.77-2.85

SG ... R-3m
DFT formation energy ... 0.03 eV/atom


5.
# RuPt

Crystalline RuPt at its relaxed geometry (PBE, Alexandria via LeMat-Bulk).

Cell lengths 7.4570, 5.1370, 4.7353 Å; angles 90.00, 90.00, 90.00 degrees
Closest atoms and distances in Å follow each position.
Positions (direct):
1 Ru 0.6775 0.5652 0.5824  6 Ru 2.65-2.81, 5 Pt 2.67-2.79
2 Ru 0.8225 0.4348 0.0824  6 Ru 2.65-2.81, 5 Pt 2.67-2.79
3 Ru 0.3225 0.5652 0.5824  6 Ru 2.65-2.81, 5 Pt 2.67-2.79
4 Ru 0.1775 0.4348 0.0824  6 Ru 2.65-2.81, 5 Pt 2.67-2.79
5 Ru 0.0000 0.3044 0.5774  6 Pt 2.63-2.81, 6 Ru 2.75-2.81
6 Ru 0.5000 0.6956 0.0774  6 Pt 2.63-2.81, 6 Ru 2.75-2.81
7 Pt 0.8210 0.9319 0.2526  6 Pt 2.67-2.82, 5 Ru 2.67-2.81
8 Pt 0.6790 0.0681 0.7526  6 Pt 2.67-2.82, 5 Ru 2.67-2.81
9 Pt 0.1790 0.9319 0.2526  6 Pt 2.67-2.82, 5 Ru 2.67-2.81
10 Pt 0.3210 0.0681 0.7526  6 Pt 2.67-2.82, 5 Ru 2.67-2.81
11 Pt 0.0000 0.7890 0.7546  6 Ru 2.63-2.79, 6 Pt 2.79-2.82
12 Pt 0.5000 0.2110 0.2546  6 Ru 2.63-2.79, 6 Pt 2.79-2.82

SG ... Pmn2_1
DFT formation energy ... 0.16 eV/atom


6.
# KRbNaF4

Crystalline KRbNaF4 at its relaxed geometry (PBE, Alexandria via LeMat-Bulk).

Cell lengths 6.1386, 6.2769, 7.5859 Å; angles 90.00, 113.87, 90.00 degrees
Closest atoms and distances in Å follow each position.
Positions (direct):
1 K 0.6174 0.7500 0.2349  5 F 2.66-2.86
2 K 0.3826 0.2500 0.7651  5 F 2.66-2.86
3 Rb 0.1085 0.2500 0.2170  5 F 2.75-2.94
4 Rb 0.8915 0.7500 0.7830  5 F 2.75-2.94
5 Na 0.2574 0.7500 0.5149  6 F 2.20-2.34
6 Na 0.7426 0.2500 0.4851  6 F 2.20-2.34
7 F 0.9102 0.2500 0.8205  1 Na 2.33
8 F 0.4260 0.7500 0.8520  1 Na 2.34
9 F 0.0898 0.7500 0.1795  1 Na 2.33
10 F 0.5740 0.2500 0.1480  1 Na 2.34
11 F 0.5000 0.5000 0.5000  2 Na 2.20
12 F 0.0000 0.0000 0.5000  2 Na 2.20
13 F 0.5000 0.0000 0.5000  2 Na 2.20
14 F 0.0000 0.5000 0.5000  2 Na 2.20

SG ... Cmcm
Formation energy without anion corrections ... -53.128 kcal/mol of atoms


7.
# Be3ReRh

Crystalline Be3ReRh at its relaxed geometry (PBE, Alexandria via LeMat-Bulk).

Cell lengths 4.1181, 4.1181, 4.1181 Å; angles 90.00, 90.00, 90.00 degrees
Closest atoms and distances in Å follow each position.
Positions (direct):
1 Re 0.0000 0.0000 0.0000  6 Be 2.06
2 Rh 0.5000 0.5000 0.5000  12 Be 2.91
3 Be 0.0000 0.5000 0.0000  2 Re 2.06
4 Be 0.0000 0.0000 0.5000  2 Re 2.06
5 Be 0.5000 0.0000 0.0000  2 Re 2.06

SG ... Pm-3m
DFT formation energy ... 1.13 eV/atom
Distance to the lowest polymorph of the same formula ... 1.65 eV per formula unit


8.
# LiLa2MgFe

Crystalline LiLa2MgFe at its relaxed geometry (PBE, Alexandria via LeMat-Bulk).

Cell lengths 5.1433, 5.1433, 5.2765 Å; angles 90.00, 90.00, 90.00 degrees
Closest atoms and distances in Å follow each position.
Positions (direct):
1 Mg 0.0000 0.0000 0.5000  2 Fe 2.64
2 Li 0.5000 0.5000 0.5000  4 Mg 3.64, 8 La 3.68
3 Fe 0.0000 0.0000 0.0000  4 La 2.57, 2 Mg 2.64
4 La 0.0000 0.5000 0.0000  2 Fe 2.57
5 La 0.5000 0.0000 0.0000  2 Fe 2.57

SG ... P4/mmm
DFT formation energy ... 0.05 eV/atom
Distance to the lowest polymorph of the same formula ... 0.00 eV per formula unit


> Which formula does entry 6 have?

KRbNaF4